First-principles (PBE) data for crystalline HgRuRh2 at its relaxed geometry, as listed in Alexandria via LeMat-Bulk.

Summary:
The space group is R-3m, No. 166. The formation energy is 0.212 eV/atom. The value obtained for the final energy is -70.3 eV/cell.

Cell: 2.8279 2.8279 27.2144 Å, 90.00 90.00 120.00°
Closest atoms and distances in Å follow each position.
Fractional positions:
Hg (0.0000, 0.0000, 0.0000)  6 Hg 2.83, 6 Rh 2.94
Hg (0.3333, 0.6667, 0.6667)  6 Hg 2.83, 6 Rh 2.94
Hg (0.6667, 0.3333, 0.3333)  6 Hg 2.83, 6 Rh 2.94
Ru (0.0000, 0.0000, 0.5000)  6 Rh 2.65, 6 Ru 2.83
Ru (0.3333, 0.6667, 0.1667)  6 Rh 2.65, 6 Ru 2.83
Ru (0.6667, 0.3333, 0.8333)  6 Rh 2.65, 6 Ru 2.83
Rh (0.0000, 0.0000, 0.2435)  3 Ru 2.65, 6 Rh 2.83, 3 Hg 2.94
Rh (0.0000, 0.0000, 0.7565)  3 Ru 2.65, 6 Rh 2.83, 3 Hg 2.94
Rh (0.3333, 0.6667, 0.4232)  3 Ru 2.65, 6 Rh 2.83, 3 Hg 2.94
Rh (0.3333, 0.6667, 0.9102)  3 Ru 2.65, 6 Rh 2.83, 3 Hg 2.94
Rh (0.6667, 0.3333, 0.0898)  3 Ru 2.65, 6 Rh 2.83, 3 Hg 2.94
Rh (0.6667, 0.3333, 0.5768)  3 Ru 2.65, 6 Rh 2.83, 3 Hg 2.94


First-principles (PBE) data for crystalline HgRu2Rh at its relaxed geometry, as listed in Alexandria via LeMat-Bulk.

Summary:
The space group is Cmmm, No. 65. The formation energy is 0.599 eV/atom. The value obtained for the final energy is -47.6 eV/cell.

Cell: 2.8070 4.7982 9.5597 Å, 90.00 90.00 90.00°
Closest atoms and distances in Å follow each position.
Fractional positions:
Hg (0.0000, 0.0000, 0.0000)  6 Hg 2.78-2.81, 4 Ru 2.90
Hg (0.5000, 0.5000, 0.0000)  6 Hg 2.78-2.81, 4 Ru 2.90
Ru (0.0000, 0.5000, 0.2653)  2 Rh 2.65, 6 Ru 2.78-2.81, 2 Hg 2.90
Ru (0.0000, 0.5000, 0.7347)  2 Rh 2.65, 6 Ru 2.78-2.81, 2 Hg 2.90
Ru (0.5000, 0.0000, 0.2653)  2 Rh 2.65, 6 Ru 2.78-2.81, 2 Hg 2.90
Ru (0.5000, 0.0000, 0.7347)  2 Rh 2.65, 6 Ru 2.78-2.81, 2 Hg 2.90
Rh (0.0000, 0.0000, 0.5000)  4 Ru 2.65, 6 Rh 2.78-2.81
Rh (0.5000, 0.5000, 0.5000)  4 Ru 2.65, 6 Rh 2.78-2.81


First-principles (PBE) data for crystalline HgRuRh2 at its relaxed geometry, as listed in Alexandria via LeMat-Bulk.

Summary:
The space group is Pmmm, No. 47. The formation energy is 0.490 eV/atom. The value obtained for the final energy is -22.3 eV/cell.

Cell: 2.8631 4.6727 4.7646 Å, 90.00 90.00 90.00°
Closest atoms and distances in Å follow each position.
Fractional positions:
Hg (0.0000, 0.0000, 0.0000)  4 Rh 2.74, 4 Ru 2.78, 2 Hg 2.86
Ru (0.5000, 0.0000, 0.5000)  4 Rh 2.74, 4 Hg 2.78, 2 Ru 2.86
Rh (0.0000, 0.5000, 0.5000)  4 Ru 2.74, 6 Rh 2.78-2.86
Rh (0.5000, 0.5000, 0.0000)  4 Hg 2.74, 6 Rh 2.78-2.86


First-principles (PBE) data for crystalline HgRuRh at its relaxed geometry, as listed in Alexandria via LeMat-Bulk.

Summary:
The offset from the most stable computed form comes out at 0 kJ/mol of formula units. The space group is I4mm, No. 107. The formation energy is 0.255 eV/atom. The value obtained for the final energy is -32.3 eV/cell.

Cell: 2.8422 2.8422 12.1122 Å, 90.00 90.00 90.00°
Closest atoms and distances in Å follow each position.
Fractional positions:
Hg (0.0000, 0.0000, 0.0000)  4 Hg 2.84, 4 Ru 2.98, 4 Rh 2.98
Hg (0.5000, 0.5000, 0.5000)  4 Hg 2.84, 4 Ru 2.98, 4 Rh 2.98
Ru (0.0000, 0.0000, 0.6815)  4 Rh 2.60, 4 Ru 2.84
Ru (0.5000, 0.5000, 0.1815)  4 Rh 2.60, 4 Ru 2.84
Rh (0.0000, 0.0000, 0.3182)  4 Ru 2.60, 4 Rh 2.84
Rh (0.5000, 0.5000, 0.8182)  4 Ru 2.60, 4 Rh 2.84


First-principles (PBE) data for crystalline HgRuRh2 at its relaxed geometry, as listed in Alexandria via LeMat-Bulk.

Summary:
The space group is Cmmm, No. 65. The formation energy is 0.337 eV/atom. The value obtained for the final energy is -45.9 eV/cell.

Cell: 5.6298 7.8687 2.8212 Å, 90.00 90.00 90.00°
Closest atoms and distances in Å follow each position.
Fractional positions:
Hg (0.0000, 0.0000, 0.0000)  8 Rh 2.80, 2 Ru 2.81, 2 Hg 2.82
Hg (0.5000, 0.5000, 0.0000)  8 Rh 2.80, 2 Ru 2.81, 2 Hg 2.82
Ru (0.0000, 0.5000, 0.0000)  8 Rh 2.80, 2 Hg 2.81, 2 Ru 2.82
Ru (0.5000, 0.0000, 0.0000)  8 Rh 2.80, 2 Hg 2.81, 2 Ru 2.82
Rh (0.2500, 0.2500, 0.5000)  4 Hg 2.80, 4 Ru 2.80, 4 Rh 2.81-2.82
Rh (0.2500, 0.7500, 0.5000)  4 Hg 2.80, 4 Ru 2.80, 4 Rh 2.81-2.82
Rh (0.7500, 0.2500, 0.5000)  4 Hg 2.80, 4 Ru 2.80, 4 Rh 2.81-2.82
Rh (0.7500, 0.7500, 0.5000)  4 Hg 2.80, 4 Ru 2.80, 4 Rh 2.81-2.82


First-principles (PBE) data for crystalline HgRu2Rh at its relaxed geometry, as listed in Alexandria via LeMat-Bulk.

Summary:
The space group is P4mm, No. 99. The formation energy is 0.226 eV/atom. The value obtained for the final energy is -25.3 eV/cell.

Cell: 2.8119 2.8119 7.9091 Å, 90.00 90.00 90.00°
Closest atoms and distances in Å follow each position.
Fractional positions:
Hg (0.0000, 0.0000, 0.0000)  4 Hg 2.81, 4 Rh 2.93, 4 Ru 2.97
Ru (0.0000, 0.0000, 0.5070)  8 Ru 2.61-2.81, 4 Rh 2.72
Ru (0.5000, 0.5000, 0.7209)  8 Ru 2.61-2.81
Rh (0.5000, 0.5000, 0.2727)  4 Ru 2.72, 4 Rh 2.81, 4 Hg 2.93


First-principles (PBE) data for crystalline HgRuRh2 at its relaxed geometry, as listed in Alexandria via LeMat-Bulk.

Summary:
The space group is P2/m, No. 10. The formation energy is 0.385 eV/atom. The value obtained for the final energy is -22.7 eV/cell.

Cell: 4.8969 2.7947 4.9249 Å, 90.00 111.52 90.00°
Closest atoms and distances in Å follow each position.
Fractional positions:
Hg (0.0000, 0.0000, 0.0000)  6 Rh 2.76-2.82, 2 Hg 2.79, 4 Ru 2.83
Ru (0.0000, 0.5000, 0.5000)  6 Rh 2.76-2.82, 2 Ru 2.79, 4 Hg 2.83
Rh (0.5000, 0.0000, 0.5000)  2 Hg 2.76, 6 Rh 2.79-2.83, 4 Ru 2.82
Rh (0.5000, 0.5000, 0.0000)  2 Ru 2.76, 6 Rh 2.79-2.83, 4 Hg 2.82


First-principles (PBE) data for crystalline HgRuRh2 at its relaxed geometry, as listed in Alexandria via LeMat-Bulk.

Summary:
The space group is P4/mmm, No. 123. The formation energy is 0.125 eV/atom. The value obtained for the final energy is -23.8 eV/cell.

Cell: 2.8090 2.8090 7.9433 Å, 90.00 90.00 90.00°
Closest atoms and distances in Å follow each position.
Fractional positions:
Hg (0.0000, 0.0000, 0.0000)  4 Hg 2.81, 8 Rh 2.95
Ru (0.0000, 0.0000, 0.5000)  8 Rh 2.67, 4 Ru 2.81
Rh (0.5000, 0.5000, 0.2754)  4 Ru 2.67, 4 Rh 2.81, 4 Hg 2.95
Rh (0.5000, 0.5000, 0.7246)  4 Ru 2.67, 4 Rh 2.81, 4 Hg 2.95


First-principles (PBE) data for crystalline HgRuRh2 at its relaxed geometry, as listed in Alexandria via LeMat-Bulk.

Summary:
The space group is Pmmm, No. 47. The formation energy is 0.220 eV/atom. The value obtained for the final energy is -23.4 eV/cell.

Cell: 2.8165 3.7793 5.9141 Å, 90.00 90.00 90.00°
Closest atoms and distances in Å follow each position.
Fractional positions:
Hg (0.0000, 0.0000, 0.0000)  2 Hg 2.82, 8 Rh 2.87, 2 Ru 2.96
Ru (0.0000, 0.0000, 0.5000)  8 Rh 2.70, 2 Ru 2.82, 2 Hg 2.96
Rh (0.5000, 0.5000, 0.2780)  3 Rh 2.63-2.82, 4 Ru 2.70, 4 Hg 2.87
Rh (0.5000, 0.5000, 0.7220)  3 Rh 2.63-2.82, 4 Ru 2.70, 4 Hg 2.87


First-principles (PBE) data for crystalline HgRu2Rh at its relaxed geometry, as listed in Alexandria via LeMat-Bulk.

Summary:
The space group is Cm, No. 8. The formation energy is 0.380 eV/atom. The value obtained for the final energy is -49.4 eV/cell.

Cell: 9.1965 2.8015 4.9321 Å, 90.00 99.99 90.00°
Closest atoms and distances in Å follow each position.
Fractional positions:
Hg (0.0000, 0.0000, 0.0000)  3 Rh 2.74-2.85, 2 Hg 2.80, 7 Ru 2.80-2.93
Hg (0.5000, 0.5000, 0.0000)  3 Rh 2.74-2.85, 2 Hg 2.80, 7 Ru 2.80-2.93
Ru (0.0024, 0.5000, 0.5081)  5 Ru 2.64-2.80, 3 Rh 2.76-2.85, 4 Hg 2.80-2.87
Ru (0.2405, 0.0000, 0.7032)  5 Ru 2.64-2.80, 2 Rh 2.65, 3 Hg 2.86-2.93
Ru (0.5024, 0.0000, 0.5081)  5 Ru 2.64-2.80, 3 Rh 2.76-2.85, 4 Hg 2.80-2.87
Ru (0.7405, 0.5000, 0.7032)  5 Ru 2.64-2.80, 2 Rh 2.65, 3 Hg 2.86-2.93
Rh (0.2577, 0.5000, 0.2546)  5 Ru 2.65-2.85, 3 Hg 2.74-2.85, 2 Rh 2.80
Rh (0.7577, 0.0000, 0.2546)  5 Ru 2.65-2.85, 3 Hg 2.74-2.85, 2 Rh 2.80


Question: Which of these has the lowest formation energy?
Answer: number 8